1.
Material: Li2BeS
Method: DFT, PBE
State: relaxed

The structure in POSCAR format:
```
Li2BeS
1.0
-1.539 0.292 3.125
3.100 -0.404 1.565
1.993 8.484 2.146
Be S Li
2 2 4
Direct
0.500 0.500 0.000 Be
0.250 0.750 0.500 Be
0.000 0.000 0.000 S
0.750 0.250 0.500 S
0.649 0.125 0.250 Li
0.101 0.625 0.250 Li
0.375 0.351 0.750 Li
0.875 0.899 0.750 Li
```

Computed properties:
Its symmetry is I-42d. The calculation puts the size of the total moment at 0.0 μB/f.u. For the uncorrected formation energy, the calculation gives -0.16 eV per formula unit.

***

2.
Material: Li4BeS2
Method: DFT, PBE
State: relaxed

The structure in POSCAR format:
```
Li4BeS2
1.0
-2.263 3.133 -1.680
-2.361 0.164 3.486
1.836 6.041 3.507
Be S Li
1 2 4
Direct
0.000 0.000 0.000 Be
0.626 0.626 0.748 S
0.374 0.374 0.252 S
0.807 0.807 0.387 Li
0.193 0.193 0.613 Li
0.000 0.500 0.000 Li
0.500 0.000 0.000 Li
```

Computed properties:
Its symmetry is I4/mmm. The calculation puts the size of the total moment at 0.0 μB/f.u. For the uncorrected formation energy, the calculation gives -1.83 eV per formula unit.

***

3.
Material: Li2BeS
Method: DFT, PBE
State: relaxed

The structure in POSCAR format:
```
Li2BeS
1.0
0.000 3.043 3.043
3.043 0.000 3.043
3.043 3.043 0.000
Be S Li
1 1 2
Direct
0.000 0.000 0.000 Be
0.500 0.500 0.500 S
0.250 0.250 0.250 Li
0.750 0.750 0.750 Li
```

Computed properties:
Its symmetry is Fm-3m. The calculation puts the size of the total moment at 0.0 μB/f.u. For the uncorrected formation energy, the calculation gives -0.42 eV per formula unit.

***

4.
Material: Li2BeSbS4
Method: DFT, PBE
State: relaxed

The structure in POSCAR format:
```
Li2BeSbS4
1.0
-3.758 0.853 -4.072
-4.150 -1.194 3.578
3.650 5.251 1.591
Li Be Sb S
2 1 1 4
Direct
0.486 0.986 0.972 Li
0.236 0.236 0.472 Li
0.986 0.486 0.972 Be
0.736 0.736 0.472 Sb
0.642 0.591 0.751 S
0.881 0.362 0.192 S
0.311 0.830 0.192 S
0.110 0.160 0.751 S
```

Computed properties:
Its symmetry is I-4. The calculation puts the size of the total moment at 0.0 μB/f.u. For the uncorrected formation energy, the calculation gives -6.08 eV per formula unit.